The following is a PBE calculation of a relaxed structure of Tc3HPb, from Alexandria via LeMat-Bulk.

Calculated values
**Size of the total moment**: 8.00 μB/f.u.
**Calculated total energy**: -0.341 Ry/atom
**Polymorph energy (0 for the lowest one)**: 2458 meV/atom
**D(E_F)**: 3.1 states/eV per cell

Geometry as POSCAR:
```
Tc3HPb
1.0
5.1835 0.0000 0.0000
0.0000 5.1835 0.0000
0.0000 0.0000 5.1835
Tc H Pb
3 1 1
Direct
0.0000 0.0000 0.5000 Tc
0.5000 0.0000 0.0000 Tc
0.0000 0.5000 0.0000 Tc
0.5000 0.5000 0.5000 H
0.0000 0.0000 0.0000 Pb
```


The following is a PBE calculation of a relaxed structure of Tc2HPb2, from Alexandria via LeMat-Bulk.

Calculated values
**Size of the total moment**: 0.67 μB/f.u.
**Calculated total energy**: -0.407 Ry/atom
**Polymorph energy (0 for the lowest one)**: 31 meV/atom
**D(E_F)**: 3.7 states/eV per cell

Geometry as POSCAR:
```
Tc2HPb2
1.0
-5.0614 2.1289 0.9753
0.5248 -1.2322 5.4137
-0.9851 3.2628 3.7107
Pb Tc H
2 2 1
Direct
0.2500 0.7500 0.5000 Pb
0.7500 0.2500 0.5000 Pb
0.3249 0.3249 0.3503 Tc
0.6751 0.6751 0.6497 Tc
0.0000 0.0000 0.0000 H
```


The following is a PBE calculation of a relaxed structure of Tc3HPb, from Alexandria via LeMat-Bulk.

Calculated values
**Size of the total moment**: 1.21 μB/f.u.
**Calculated total energy**: -0.521 Ry/atom
**Polymorph energy (0 for the lowest one)**: 0 meV/atom
**D(E_F)**: 6.8 states/eV per cell

Geometry as POSCAR:
```
Tc3HPb
1.0
4.0919 0.0000 0.0000
0.0000 4.0919 0.0000
0.0000 0.0000 4.0919
Tc H Pb
3 1 1
Direct
0.5000 0.0000 0.0000 Tc
0.0000 0.5000 0.0000 Tc
0.0000 0.0000 0.5000 Tc
0.0000 0.0000 0.0000 H
0.5000 0.5000 0.5000 Pb
```


The following is a PBE calculation of a relaxed structure of TcHPb2, from Alexandria via LeMat-Bulk.

Calculated values
**Size of the total moment**: 1.74 μB/f.u.
**Calculated total energy**: -0.330 Ry/atom
**Polymorph energy (0 for the lowest one)**: 0 meV/atom
**D(E_F)**: 6.1 states/eV per cell

Geometry as POSCAR:
```
TcHPb2
1.0
-1.3166 6.4980 -0.5135
-1.6849 -0.8453 -6.3771
-4.7269 2.2462 -2.5160
H Tc Pb
2 2 4
Direct
0.5000 0.5000 0.0000 H
0.2500 0.7500 0.5000 H
0.7500 0.2500 0.5000 Tc
0.0000 0.0000 0.0000 Tc
0.8750 0.8050 0.7500 Pb
0.5550 0.1250 0.2500 Pb
0.1950 0.6250 0.2500 Pb
0.3750 0.4450 0.7500 Pb
```


The following is a PBE calculation of a relaxed structure of Tc2HPb, from Alexandria via LeMat-Bulk.

Calculated values
**Size of the total moment**: 0.00 μB/f.u.
**Calculated total energy**: -0.414 Ry/atom
**Polymorph energy (0 for the lowest one)**: 744 meV/atom
**D(E_F)**: 6.6 states/eV per cell

Geometry as POSCAR:
```
Tc2HPb
1.0
0.0000 3.1270 3.1270
3.1270 0.0000 3.1270
3.1270 3.1270 0.0000
Pb Tc H
1 2 1
Direct
0.5000 0.5000 0.5000 Pb
0.7500 0.7500 0.7500 Tc
0.2500 0.2500 0.2500 Tc
0.0000 0.0000 0.0000 H
```


The following is a PBE calculation of a relaxed structure of TcH2Pb, from Alexandria via LeMat-Bulk.

Calculated values
**Size of the total moment**: 0.00 μB/f.u.
**Calculated total energy**: -0.294 Ry/atom
**Polymorph energy (0 for the lowest one)**: 824 meV/atom
**D(E_F)**: 3.6 states/eV per cell

Geometry as POSCAR:
```
TcH2Pb
1.0
0.0000 2.8641 2.8641
2.8641 0.0000 2.8641
2.8641 2.8641 0.0000
Tc Pb H
1 1 2
Direct
0.0000 0.0000 0.0000 Tc
0.5000 0.5000 0.5000 Pb
0.2500 0.2500 0.2500 H
0.7500 0.7500 0.7500 H
```


The following is a PBE calculation of a relaxed structure of TcHPb3, from Alexandria via LeMat-Bulk.

Calculated values
**Size of the total moment**: 3.08 μB/f.u.
**Calculated total energy**: -0.309 Ry/atom
**Polymorph energy (0 for the lowest one)**: 192 meV/atom
**D(E_F)**: 2.8 states/eV per cell

Geometry as POSCAR:
```
TcHPb3
1.0
-4.3180 -1.4049 -1.5499
1.4111 -4.5805 0.2208
-1.5442 -0.2571 4.5354
H Tc Pb
1 1 3
Direct
0.0000 0.0000 0.0000 H
0.5000 0.5000 0.5000 Tc
0.0000 0.0000 0.5000 Pb
0.5000 0.0000 0.0000 Pb
0.0000 0.5000 0.0000 Pb
```


The following is a PBE calculation of a relaxed structure of TcH2Pb, from Alexandria via LeMat-Bulk.

Calculated values
**Size of the total moment**: 0.94 μB/f.u.
**Calculated total energy**: -0.355 Ry/atom
**Polymorph energy (0 for the lowest one)**: 0 meV/atom
**D(E_F)**: 2.4 states/eV per cell

Geometry as POSCAR:
```
TcH2Pb
1.0
5.9465 0.0000 0.0000
0.0000 5.9465 0.0000
2.9733 2.9733 2.7735
Pb H Tc
2 4 2
Direct
0.7500 0.2500 0.5000 Pb
0.0000 0.0000 0.0000 Pb
0.5037 0.1250 0.2500 H
0.3750 0.4963 0.7500 H
0.8750 0.7537 0.7500 H
0.2463 0.6250 0.2500 H
0.2500 0.7500 0.5000 Tc
0.5000 0.5000 0.0000 Tc
```


The following is a PBE calculation of a relaxed structure of Ti2TcHPb, from Alexandria via LeMat-Bulk.

Calculated values
**Size of the total moment**: 0.03 μB/f.u.
**Calculated total energy**: -0.393 Ry/atom
**D(E_F)**: 9.6 states/eV per cell

Geometry as POSCAR:
```
Ti2TcHPb
1.0
5.1772 0.0000 0.0000
0.0000 3.4479 0.0000
0.0000 0.0000 5.1772
Tc Pb H Ti
1 1 1 2
Direct
0.5000 0.5000 0.5000 Tc
0.0000 0.0000 0.0000 Pb
0.0000 0.5000 0.0000 H
0.0000 0.0000 0.5000 Ti
0.5000 0.0000 0.0000 Ti
```


The following is a PBE calculation of a relaxed structure of TiTcH2Pb, from Alexandria via LeMat-Bulk.

Calculated values
**Size of the total moment**: 0.01 μB/f.u.
**Calculated total energy**: -0.366 Ry/atom
**D(E_F)**: 4.8 states/eV per cell

Geometry as POSCAR:
```
TiTcH2Pb
1.0
3.7694 0.0000 0.0000
0.0000 5.3116 0.0000
0.0000 0.0000 3.7694
H Ti Tc Pb
2 1 1 1
Direct
0.0000 0.0000 0.5000 H
0.5000 0.0000 0.0000 H
0.5000 0.5000 0.5000 Ti
0.0000 0.0000 0.0000 Tc
0.0000 0.5000 0.0000 Pb
```


The following is a PBE calculation of a relaxed structure of Y2TcHPb, from Alexandria via LeMat-Bulk.

Calculated values
**Size of the total moment**: 0.42 μB/f.u.
**Calculated total energy**: -0.466 Ry/atom
**Polymorph energy (0 for the lowest one)**: 0 meV/atom
**D(E_F)**: 0.7 states/eV per cell

Geometry as POSCAR:
```
Y2TcHPb
1.0
5.0127 0.0000 0.0000
0.0000 5.0127 0.0000
0.0000 0.0000 3.8541
Y Pb Tc H
2 1 1 1
Direct
0.5000 0.0000 0.0000 Y
0.0000 0.5000 0.0000 Y
0.5000 0.5000 0.5000 Pb
0.0000 0.0000 0.5000 Tc
0.0000 0.0000 0.0000 H
```


The following is a PBE calculation of a relaxed structure of Y2TcHPb, from Alexandria via LeMat-Bulk.

Calculated values
**Size of the total moment**: 1.62 μB/f.u.
**Calculated total energy**: -0.382 Ry/atom
**Polymorph energy (0 for the lowest one)**: 1151 meV/atom
**D(E_F)**: 3.5 states/eV per cell

Geometry as POSCAR:
```
Y2TcHPb
1.0
5.8665 0.0000 0.0000
0.0000 3.6593 0.0000
0.0000 0.0000 5.8665
H Y Tc Pb
1 2 1 1
Direct
0.0000 0.5000 0.0000 H
0.5000 0.0000 0.0000 Y
0.0000 0.0000 0.5000 Y
0.5000 0.5000 0.5000 Tc
0.0000 0.0000 0.0000 Pb
```


The following is a PBE calculation of a relaxed structure of ZrTcH2Pb, from Alexandria via LeMat-Bulk.

Calculated values
**Size of the total moment**: 2.45 μB/f.u.
**Calculated total energy**: -0.382 Ry/atom
**D(E_F)**: 3.2 states/eV per cell

Geometry as POSCAR:
```
ZrTcH2Pb
1.0
3.8736 0.0000 0.0000
0.0000 5.9540 0.0000
0.0000 0.0000 3.8736
Zr H Pb Tc
1 2 1 1
Direct
0.0000 0.0000 0.0000 Zr
0.5000 0.0000 0.0000 H
0.0000 0.0000 0.5000 H
0.0000 0.5000 0.0000 Pb
0.5000 0.5000 0.5000 Tc
```


The following is a PBE calculation of a relaxed structure of TeH2Pb, from Alexandria via LeMat-Bulk.

Calculated values
**Size of the total moment**: 0.00 μB/f.u.
**Calculated total energy**: -0.260 Ry/atom
**Polymorph energy (0 for the lowest one)**: 0 meV/atom

Geometry as POSCAR:
```
TeH2Pb
1.0
-3.9548 -0.6719 -1.8033
2.0336 -5.7157 -2.3302
-0.3590 -3.1091 7.3131
H Te Pb
4 2 2
Direct
0.5382 0.3079 0.5764 H
0.4618 0.6921 0.4236 H
0.5382 0.1921 0.5764 H
0.4618 0.8079 0.4236 H
0.8385 0.2500 0.1762 Te
0.1615 0.7500 0.8238 Te
0.2015 0.2500 0.9025 Pb
0.7985 0.7500 0.0975 Pb
```


The following is a PBE calculation of a relaxed structure of Te2H2Pb, from Alexandria via LeMat-Bulk.

Calculated values
**Size of the total moment**: 0.00 μB/f.u.
**Calculated total energy**: -0.213 Ry/atom
**Polymorph energy (0 for the lowest one)**: 213 meV/atom
**D(E_F)**: 2.6 states/eV per cell

Geometry as POSCAR:
```
Te2H2Pb
1.0
3.9192 0.0000 0.0000
0.0000 3.9192 0.0000
1.9596 1.9596 6.3962
Te Pb H
2 1 2
Direct
0.6493 0.6493 0.7014 Te
0.3507 0.3507 0.2986 Te
0.0000 0.0000 0.0000 Pb
0.2500 0.7500 0.5000 H
0.7500 0.2500 0.5000 H
```


The following is a PBE calculation of a relaxed structure of Te2H2Pb, from Alexandria via LeMat-Bulk.

Calculated values
**Size of the total moment**: 0.00 μB/f.u.
**Calculated total energy**: -0.213 Ry/atom
**Polymorph energy (0 for the lowest one)**: 207 meV/atom
**D(E_F)**: 1.4 states/eV per cell

Geometry as POSCAR:
```
Te2H2Pb
1.0
3.5472 -0.0028 1.1170
1.6435 3.1917 0.9330
-0.9187 -2.0701 8.5484
Pb H Te
1 2 2
Direct
0.0000 0.0000 0.0000 Pb
0.7237 0.6368 0.9046 H
0.2763 0.3632 0.0954 H
0.5871 0.2079 0.6246 Te
0.4129 0.7921 0.3754 Te
```


The following is a PBE calculation of a relaxed structure of TeH4Pb, from Alexandria via LeMat-Bulk.

Calculated values
**Size of the total moment**: 0.00 μB/f.u.
**Calculated total energy**: -0.226 Ry/atom
**D(E_F)**: 0.0 states/eV per cell

Geometry as POSCAR:
```
TeH4Pb
1.0
4.9980 1.2488 0.8760
2.4345 7.2159 2.6464
0.6182 1.4045 7.8823
H Te Pb
8 2 2
Direct
0.2428 0.8115 0.0567 H
0.0010 0.1416 0.4253 H
0.5010 0.5669 0.5747 H
0.7428 0.8682 0.9433 H
0.9990 0.8584 0.5747 H
0.7572 0.1885 0.9433 H
0.2572 0.1318 0.0567 H
0.4990 0.4331 0.4253 H
0.2500 0.6252 0.7497 Te
0.7500 0.3748 0.2503 Te
0.2500 0.0799 0.8401 Pb
0.7500 0.9201 0.1599 Pb
```


The following is a PBE calculation of a relaxed structure of Te2H2Pb, from Alexandria via LeMat-Bulk.

Calculated values
**Size of the total moment**: 0.00 μB/f.u.
**Calculated total energy**: -0.228 Ry/atom
**Polymorph energy (0 for the lowest one)**: 0 meV/atom
**D(E_F)**: 4.1 states/eV per cell

Geometry as POSCAR:
```
Te2H2Pb
1.0
8.8694 0.0000 0.0000
0.0000 8.8694 0.0000
0.0000 0.0000 3.5389
Pb H Te
2 4 4
Direct
0.5000 0.5000 0.0000 Pb
0.0000 0.0000 0.0000 Pb
0.2465 0.7465 0.5000 H
0.2535 0.2465 0.5000 H
0.7535 0.2535 0.5000 H
0.7465 0.7535 0.5000 H
0.8090 0.6910 0.0000 Te
0.3090 0.8090 0.0000 Te
0.1910 0.3090 0.0000 Te
0.6910 0.1910 0.0000 Te
```


The following is a PBE calculation of a relaxed structure of Te2H5Pb2, from Alexandria via LeMat-Bulk.

Calculated values
**Size of the total moment**: 0.00 μB/f.u.
**Calculated total energy**: -0.240 Ry/atom
**D(E_F)**: 0.0 states/eV per cell

Geometry as POSCAR:
```
Te2H5Pb2
1.0
7.9164 0.3562 2.3489
2.6896 8.7453 7.8618
1.8389 4.6124 10.1732
Te H Pb
4 10 4
Direct
0.6779 0.7741 0.9198 Te
0.1599 0.6713 0.1473 Te
0.8675 0.6890 0.5677 Te
0.4124 0.2828 0.9877 Te
0.0324 0.4434 0.3467 H
0.0922 0.6478 0.5608 H
0.4152 0.1254 0.4605 H
0.3301 0.0416 0.1610 H
0.4934 0.6036 0.8704 H
0.2279 0.2030 0.7820 H
0.6846 0.7776 0.2481 H
0.8959 0.7184 0.9475 H
0.6984 0.2711 0.6526 H
0.2306 0.0928 0.9369 H
0.2720 0.8712 0.6671 Pb
0.6782 0.2809 0.2119 Pb
0.5073 0.5808 0.4055 Pb
0.8243 0.0972 0.9545 Pb
```


The following is a PBE calculation of a relaxed structure of TeH3Pb, from Alexandria via LeMat-Bulk.

Calculated values
**Size of the total moment**: 0.00 μB/f.u.
**Calculated total energy**: -0.195 Ry/atom
**Polymorph energy (0 for the lowest one)**: 69 meV/atom
**D(E_F)**: 3.5 states/eV per cell

Geometry as POSCAR:
```
TeH3Pb
1.0
-3.5682 2.0667 -0.9501
-1.1802 -3.1930 -2.5135
-1.9445 -1.8545 3.2689
H Pb Te
3 1 1
Direct
0.0000 0.5000 0.0000 H
0.0000 0.0000 0.5000 H
0.5000 0.0000 0.0000 H
0.0000 0.0000 0.0000 Pb
0.5000 0.5000 0.5000 Te
```